Compound: YBeFeSb
Source: OQMD via LeMat-Bulk
Functional: PBE
Structure: optimized geometry

Cell: 4.6601 4.6601 4.6601 Å, 60.00 60.00 60.00°
Element x y z (fractional)
1 Fe 0.5000 0.5000 0.5000
2 Sb 0.0000 0.0000 0.0000
3 Be 0.7500 0.7500 0.7500
4 Y 0.2500 0.2500 0.2500

Results
- V: 17.89 Å³/atom
- ΔE to the lowest computed polymorph: 268 meV per atom